Here is a geometry-optimized TaCuNF2 structure from the Alexandria database. Energies are from PBEsol.

Computed properties:
raw formation energy: -95.4 kJ per mole of atoms

Lattice parameters (Å, degrees): 4.0344 4.0344 4.0017 90.00 90.00 90.00
Last column: nearest neighbours and their distance in Å.
Fractional coordinates of all 5 atoms:
Ta1 0.0000 0.0000 0.0000  2 N 2.00, 4 F 2.02
Cu1 0.5000 0.5000 0.5000  8 F 2.84, 4 N 2.85
N1 0.0000 0.0000 0.5000  2 Ta 2.00
F1 0.0000 0.5000 0.0000  2 Ta 2.02
F2 0.5000 0.0000 0.0000  2 Ta 2.02